No. 1
Entry from Alexandria via LeMat-Bulk: a relaxed structure of ReRh3 (PBE).

a b c (Å): 3.8520 3.8520 3.8520
angles (deg): 90.00 90.00 90.00
Sites, in units of the cell vectors:
Re  0.0000  0.0000  0.0000
Rh  0.0000  0.5000  0.5000
Rh  0.5000  0.0000  0.5000
Rh  0.5000  0.5000  0.0000

Summary:
- ΔE to the lowest computed polymorph: 0.100 eV per atom
- Theoretical density: 14.4 g/cm3

***

No. 2
Entry from Alexandria via LeMat-Bulk: a relaxed structure of ReRh2 (PBE).

a b c (Å): 2.7284 2.7284 6.7230
angles (deg): 90.00 90.00 120.00
Sites, in units of the cell vectors:
Re  0.0000  0.0000  0.0000
Rh  0.3333  0.6667  0.3266
Rh  0.6667  0.3333  0.6734

Summary:
- ΔE to the lowest computed polymorph: 0.099 eV per atom
- Theoretical density: 15.0 g/cm3

***

No. 3
Entry from Alexandria via LeMat-Bulk: a relaxed structure of ReRh2 (PBE).

a b c (Å): 3.2853 3.2853 8.2073
angles (deg): 90.00 90.00 90.00
Sites, in units of the cell vectors:
Re  0.0000  0.0000  0.1682
Re  0.0000  0.0000  0.8318
Rh  0.0000  0.0000  0.5000
Rh  0.5000  0.5000  0.0000
Rh  0.5000  0.5000  0.3239
Rh  0.5000  0.5000  0.6761

Summary:
- ΔE to the lowest computed polymorph: 0.429 eV per atom
- Theoretical density: 14.7 g/cm3

***

No. 4
Entry from Alexandria via LeMat-Bulk: a relaxed structure of ReRh3 (PBE).

a b c (Å): 4.7251 4.7251 4.7226
angles (deg): 99.46 99.46 33.45
Sites, in units of the cell vectors:
Re  0.0000  0.0000  0.0000
Rh  0.2525  0.2525  0.7546
Rh  0.5000  0.5000  0.5000
Rh  0.7475  0.7475  0.2454

Summary:
- ΔE to the lowest computed polymorph: 0.070 eV per atom
- Theoretical density: 14.4 g/cm3

***

No. 5
Entry from Alexandria via LeMat-Bulk: a relaxed structure of ReRh5 (PBE).

a b c (Å): 5.2093 5.2093 6.4435
angles (deg): 103.86 103.86 30.41
Sites, in units of the cell vectors:
Re  0.0000  0.0000  0.0000
Rh  0.0541  0.0541  0.6128
Rh  0.3377  0.3377  0.6764
Rh  0.3920  0.3920  0.2747
Rh  0.6646  0.6646  0.3308
Rh  0.7194  0.7194  0.9467

Summary:
- ΔE to the lowest computed polymorph: 0.014 eV per atom
- Theoretical density: 13.6 g/cm3

***

No. 6
Entry from Alexandria via LeMat-Bulk: a relaxed structure of ReRh2 (PBE).

a b c (Å): 5.0110 5.0110 5.0110
angles (deg): 60.00 60.00 60.00
Sites, in units of the cell vectors:
Re  0.1250  0.1250  0.1250
Re  0.8750  0.8750  0.8750
Rh  0.0000  0.5000  0.5000
Rh  0.5000  0.0000  0.5000
Rh  0.5000  0.5000  0.0000
Rh  0.5000  0.5000  0.5000

Summary:
- ΔE to the lowest computed polymorph: 0.626 eV per atom
- Theoretical density: 14.6 g/cm3

***

- The lowest theoretical density belongs to which entry?
  ReRh5